1.
A relaxed YScBe2 crystal. Source: Alexandria, functional PBE.

Calculated values
Calculated formation energy (eV per atom): 0.0251
Volume (Å³/f.u.): 72
Space group: P4/mmm, No. 123
Crystal system: tetragonal
ρ (g cm⁻³): 3.52

Cell: 3.3083 3.3083 6.5507 Å, 90.00 90.00 90.00°
Last column: nearest neighbours and their distance in Å.
Fractional positions:
1 Y 0.0000 0.0000 0.0000  8 Be 3.02, 2 Sc 3.28, 4 Y 3.31
2 Sc 0.0000 0.0000 0.5000  8 Be 2.71
3 Be 0.5000 0.5000 0.2904  4 Sc 2.71, 1 Be 2.75, 4 Y 3.02
4 Be 0.5000 0.5000 0.7096  4 Sc 2.71, 1 Be 2.75, 4 Y 3.02



2.
A relaxed Li2SnHPb crystal. Source: Alexandria, functional PBE.

Calculated values
Raw total energy (eV/atom): -3.114
Volume (Å³/f.u.): 91
Space group: P4/mmm, No. 123
Crystal system: tetragonal
ρ (g cm⁻³): 6.19

Cell: 4.4075 4.4075 4.7067 Å, 90.00 90.00 90.00°
Last column: nearest neighbours and their distance in Å.
Fractional positions:
1 Li 0.0000 0.5000 0.0000  2 H 2.20
2 Li 0.5000 0.0000 0.0000  2 H 2.20
3 Sn 0.0000 0.0000 0.5000  4 Pb 3.12, 8 Li 3.22
4 H 0.5000 0.5000 0.0000  4 Li 2.20, 2 Pb 2.35
5 Pb 0.5000 0.5000 0.5000  2 H 2.35